Entry 1:
The following is a PBE-GGA calculation of crystalline TiZnIn2 at its relaxed geometry, from Alexandria via LeMat-Bulk.

Results
Uncorrected energy: -3.452 eV per atom
Calculated volume: 337.4 Å³ per cell
Energy of formation from the pure elements: 209 meV per atom

a = 7.5813 Å, b = 7.5813 Å, c = 5.8706 Å
α = 90.00°, β = 90.00°, γ = 90.00°
Last column: nearest neighbours and their distance in Å.
Space group I-42d (No. 122)
Inequivalent atoms, fractional coordinates:
1 Ti 0.0000 0.0000 0.0000 x4  4 In 2.91, 2 Zn 2.94
2 Zn 0.0000 0.0000 0.5000 x4  4 In 2.66, 2 Ti 2.94
3 In 0.2259 0.2500 0.6250 x8  2 Zn 2.66, 2 Ti 2.91, 2 In 2.96

=====

Entry 2:
The following is a PBE-GGA calculation of crystalline Ge2Te2Rh at its relaxed geometry, from Alexandria via LeMat-Bulk.

Results
E_form (uncorrected): 0.353 eV per atom
Uncorrected energy: -4.221 eV per atom
Calculated volume: 232.9 Å³ per cell

a = 5.5514 Å, b = 5.5514 Å, c = 7.5576 Å
α = 90.00°, β = 90.00°, γ = 90.00°
Last column: nearest neighbours and their distance in Å.
Space group I4/mmm (No. 139)
Inequivalent atoms, fractional coordinates:
1 Ge 0.0000 0.0000 0.1695 x4  1 Rh 2.50, 1 Ge 2.56
2 Te 0.0000 0.5000 0.2500 x4  4 Ge 2.84
3 Rh 0.0000 0.0000 0.5000 x2  2 Ge 2.50

=====

Entry 3:
The following is a PBE-GGA calculation of crystalline AcNd7Dy12 at its relaxed geometry, from Alexandria via LeMat-Bulk.

Results
Uncorrected energy: -4.033 eV per atom
Calculated volume: 1482.4 Å³ per cell
Energy of formation from the pure elements: 603 meV per atom

a = 11.4021 Å, b = 11.4021 Å, c = 11.4021 Å
α = 90.00°, β = 90.00°, γ = 90.00°
Last column: nearest neighbours and their distance in Å.
Space group Im-3m (No. 229)
Inequivalent atoms, fractional coordinates:
1 Ac 0.0000 0.0000 0.0000 x2  12 Dy 4.11
2 Nd 0.0000 0.0000 0.5000 x6  12 Dy 3.95-4.03
3 Nd 0.2500 0.2500 0.2500 x8  6 Dy 2.85
4 Dy 0.0000 0.2548 0.2548 x24  2 Nd 2.85

=====

Which value of uncorrected energy does entry 3 give?
-4.033 eV per atom

=====

Which value of uncorrected energy does entry 1 give?
-3.452 eV per atom

=====

Look up the calculated volume of the first one.
337.4 Å³ per cell